Y4Al16Pt3 | PBE | relaxed

Cell and atoms, written as POSCAR:
```
Y4Al16Pt3
1.0
6.184 0.000 0.000
0.000 6.184 0.000
0.000 0.000 11.193
Al Pt Y
16 3 4
Direct
0.255 0.255 0.377 Al
0.713 0.287 0.000 Al
0.500 0.500 0.802 Al
0.287 0.287 0.000 Al
0.000 0.000 0.227 Al
0.255 0.745 0.377 Al
0.255 0.745 0.623 Al
0.000 0.000 0.773 Al
0.745 0.255 0.377 Al
0.255 0.255 0.623 Al
0.745 0.745 0.623 Al
0.500 0.500 0.198 Al
0.713 0.713 0.000 Al
0.745 0.745 0.377 Al
0.287 0.713 0.000 Al
0.745 0.255 0.623 Al
0.000 0.500 0.500 Pt
0.500 0.000 0.500 Pt
0.000 0.000 0.000 Pt
0.500 0.000 0.190 Y
0.000 0.500 0.190 Y
0.500 0.000 0.810 Y
0.000 0.500 0.810 Y
```

Crystal system: tetragonal
Formation enthalpy at 0 K in eV per atom: -0.662
Calculated density in g/cm3: 5.33
Total magnetization in μB/f.u.: 0.0